1.
Computed, not measured: crystalline Th2UCd at its relaxed geometry at the PBE-GGA level of DFT.

Properties
- E_form (eV/atom) = 0.1326
- symmetry = P4/mmm (123)
- relative energy among the computed polymorphs (eV per atom) = 0.000
- total magnetization (μB/f.u.) = 0.00
- DOS at the Fermi energy (states/eV/atom) = 1.8135

abc: 3.3229 5.6764 5.6764
angles: 90.00 90.00 90.00
Fractional positions:
Cd  0.5000  0.5000  0.5000
Th  0.0000  0.0000  0.5000
Th  0.0000  0.5000  0.0000
U  0.5000  0.0000  0.0000

***

2.
Computed, not measured: crystalline Th2UCd at its relaxed geometry at the PBE-GGA level of DFT.

Properties
- E_form (eV/atom) = 0.4330
- symmetry = R-3m (166)
- relative energy among the computed polymorphs (eV per atom) = 0.300
- total magnetization (μB/f.u.) = 2.27
- DOS at the Fermi energy (states/eV/atom) = 1.9275

abc: 3.2420 3.2420 12.3258
angles: 82.44 82.44 60.00
Fractional positions:
U  0.0000  0.0000  0.0000
Th  0.0879  0.0879  0.7362
Cd  0.5000  0.5000  0.5000
Th  0.9121  0.9121  0.2638

***

3.
Computed, not measured: crystalline Th2UCd at its relaxed geometry at the PBE-GGA level of DFT.

Properties
- E_form (eV/atom) = 0.2521
- symmetry = P4/mmm (123)
- relative energy among the computed polymorphs (eV per atom) = 0.120
- total magnetization (μB/f.u.) = 2.04
- DOS at the Fermi energy (states/eV/atom) = 2.1917

abc: 3.9095 3.9095 7.2219
angles: 90.00 90.00 90.00
Fractional positions:
Cd  0.5000  0.5000  0.5000
U  0.5000  0.5000  0.0000
Th  0.0000  0.0000  0.2387
Th  0.0000  0.0000  0.7613

***

Please write out number 2 again, unchanged.
Computed, not measured: crystalline Th2UCd at its relaxed geometry at the PBE-GGA level of DFT.

Properties
- E_form (eV/atom) = 0.4330
- symmetry = R-3m (166)
- relative energy among the computed polymorphs (eV per atom) = 0.300
- total magnetization (μB/f.u.) = 2.27
- DOS at the Fermi energy (states/eV/atom) = 1.9275

abc: 3.2420 3.2420 12.3258
angles: 82.44 82.44 60.00
Fractional positions:
U  0.0000  0.0000  0.0000
Th  0.0879  0.0879  0.7362
Cd  0.5000  0.5000  0.5000
Th  0.9121  0.9121  0.2638

***

What is the formula in the second record? Th2UCd

***

Which formula does entry 1 have? Th2UCd

***

Repeat the third record exactly.
Computed, not measured: crystalline Th2UCd at its relaxed geometry at the PBE-GGA level of DFT.

Properties
- E_form (eV/atom) = 0.2521
- symmetry = P4/mmm (123)
- relative energy among the computed polymorphs (eV per atom) = 0.120
- total magnetization (μB/f.u.) = 2.04
- DOS at the Fermi energy (states/eV/atom) = 2.1917

abc: 3.9095 3.9095 7.2219
angles: 90.00 90.00 90.00
Fractional positions:
Cd  0.5000  0.5000  0.5000
U  0.5000  0.5000  0.0000
Th  0.0000  0.0000  0.2387
Th  0.0000  0.0000  0.7613